No. 1
# Ti2SiI

A geometry-optimized Ti2SiI structure (PBE-GGA, Alexandria).

Summary:
As for the total energy: -5.63 eV per atom. The value obtained for the formation energy from raw total energies is 0.06 eV per atom. Its energy above the most stable polymorph in this dataset is 0.000 eV/atom.

Cell and atoms, written as extended XYZ:
```
4
Lattice="0.000 3.301 3.301 3.301 0.000 3.301 3.301 3.301 0.000" Properties=species:S:1:pos:R:3 pbc="T T T"
I 3.301 3.301 3.301
Ti 4.951 4.951 4.951
Ti 1.650 1.650 1.650
Si 0.000 0.000 0.000
```

No. 2
# TiSi3I

A geometry-optimized TiSi3I structure (PBE-GGA, Alexandria).

Summary:
As for the total energy: -4.44 eV per atom. The value obtained for the formation energy from raw total energies is 0.70 eV per atom. Its energy above the most stable polymorph in this dataset is 0.000 eV/atom.

Cell and atoms, written as extended XYZ:
```
5
Lattice="4.969 0.000 0.000 0.000 4.969 0.000 0.000 0.000 4.969" Properties=species:S:1:pos:R:3 pbc="T T T"
I 2.484 2.484 2.484
Si 0.000 0.000 2.484
Si 2.484 0.000 0.000
Si 0.000 2.484 0.000
Ti 0.000 0.000 0.000
```

No. 3
# TiSi3I

A geometry-optimized TiSi3I structure (PBE-GGA, Alexandria).

Summary:
As for the total energy: -3.31 eV per atom. The value obtained for the formation energy from raw total energies is 1.83 eV per atom. Its energy above the most stable polymorph in this dataset is 1.129 eV/atom.

Cell and atoms, written as extended XYZ:
```
5
Lattice="-0.280 -1.141 4.992 -2.497 -4.334 -1.131 4.470 -2.493 -0.319" Properties=species:S:1:pos:R:3 pbc="T T T"
Ti 0.846 -3.984 1.771
Si -0.140 -0.571 2.496
Si -1.249 -2.167 -0.565
Si 2.235 -1.246 -0.159
I 0.000 0.000 0.000
```

No. 4
# Tl2SiI

A geometry-optimized Tl2SiI structure (PBE-GGA, Alexandria).

Summary:
As for the total energy: -2.54 eV per atom. The value obtained for the formation energy from raw total energies is 0.38 eV per atom. Its energy above the most stable polymorph in this dataset is 0.182 eV/atom.

Cell and atoms, written as extended XYZ:
```
4
Lattice="0.000 3.927 3.927 3.927 0.000 3.927 3.927 3.927 0.000" Properties=species:S:1:pos:R:3 pbc="T T T"
Tl 1.964 1.964 1.964
Tl 5.891 5.891 5.891
I 3.927 3.927 3.927
Si 0.000 0.000 0.000
```